Entry 1:
Tc2Sb3 after structural relaxation, computed with PBE.

V ... 20.7 Å³ per atom
Uncorrected energy ... -133.3 eV/cell
Magnetization ... 0.00 μB per formula unit

Geometry as POSCAR:
```
Tc2Sb3
1.0
7.091 0.000 0.000
-1.777 6.969 0.000
-1.722 -1.458 8.368
Tc Sb
8 12
direct
0.032 0.374 0.369
0.136 0.064 0.872
0.406 0.612 0.620
0.418 0.933 0.135
0.582 0.067 0.865
0.594 0.388 0.380
0.864 0.936 0.128
0.968 0.626 0.631
0.046 0.709 0.961
0.126 0.336 0.683
0.236 0.104 0.336
0.266 0.926 0.619
0.360 0.635 0.312
0.471 0.308 0.057
0.529 0.692 0.943
0.640 0.365 0.688
0.734 0.074 0.381
0.764 0.896 0.664
0.874 0.664 0.317
0.954 0.291 0.039
```

Entry 2:
UGePd after structural relaxation, computed with PBE.

V ... 18.3 Å³ per atom
Uncorrected energy ... -90.3 eV/cell
Magnetization ... 1.13 μB per formula unit

Geometry as POSCAR:
```
UGePd
1.0
7.692 0.000 0.000
0.000 3.733 0.000
0.000 0.000 7.665
U Ge Pd
4 4 4
direct
0.009 0.250 0.117
0.491 0.750 0.617
0.509 0.250 0.383
0.991 0.750 0.883
0.204 0.750 0.360
0.296 0.250 0.860
0.704 0.750 0.140
0.796 0.250 0.640
0.130 0.250 0.574
0.370 0.750 0.074
0.630 0.250 0.926
0.870 0.750 0.426
```

Entry 3:
HoMgTlTe3 after structural relaxation, computed with PBE.

Distance to the lowest polymorph of the same formula ... 0 kJ/mol of formula units
V ... 35.5 Å³ per atom
Magnetization ... 0.00 μB per formula unit

Geometry as POSCAR:
```
HoMgTlTe3
1.0
9.486 0.000 0.000
0.000 4.484 0.000
-2.971 0.000 10.025
Ho Mg Tl Te
2 2 2 6
direct
0.171 0.250 0.136
0.829 0.750 0.864
0.418 0.750 0.390
0.582 0.250 0.610
0.292 0.750 0.778
0.708 0.250 0.222
0.041 0.250 0.835
0.278 0.250 0.460
0.393 0.750 0.121
0.607 0.250 0.879
0.722 0.750 0.540
0.959 0.750 0.165
```

Entry 4:
Y2Tm2I5N after structural relaxation, computed with PBE.

V ... 31.0 Å³ per atom
Uncorrected energy ... -50.3 eV/cell
Magnetization ... 0.01 μB per formula unit

Geometry as POSCAR:
```
Y2Tm2I5N
1.0
9.580 -1.952 0.000
9.580 1.952 0.000
-1.836 0.000 8.300
Y Tm I N
2 2 5 1
direct
0.000 0.000 0.189
0.000 0.000 0.811
0.378 0.378 0.940
0.622 0.622 0.060
0.163 0.163 0.334
0.165 0.165 0.826
0.500 0.500 0.500
0.835 0.835 0.174
0.837 0.837 0.666
0.500 0.500 0.000
```